[1]
A plane-wave DFT calculation with PBE-GGA was carried out for Ti2NbS6 after structural relaxation.

Structure (POSCAR):
```
Ti2NbS6
1.0
-2.190 -2.378 1.049
2.274 -4.637 -5.767
5.507 0.161 6.353
S Nb Ti
6 1 2
Direct
0.662 0.103 0.325
0.327 0.438 0.654
0.338 0.897 0.675
0.993 0.761 0.986
0.007 0.239 0.014
0.673 0.562 0.346
0.500 0.000 0.000
0.831 0.665 0.663
0.169 0.335 0.337
```

- E_form (uncorrected): -114.0 kJ/mol of atoms

---

[2]
A plane-wave DFT calculation with PBE-GGA was carried out for MgTl4Sb after structural relaxation.

Structure (POSCAR):
```
MgTl4Sb
1.0
-3.570 0.884 5.272
-5.989 -2.320 0.252
-1.360 -4.978 3.833
Tl Sb Mg
4 1 1
Direct
0.876 0.375 0.375
0.375 0.876 0.375
0.375 0.375 0.375
0.375 0.375 0.876
0.000 0.000 0.000
0.750 0.750 0.750
```

- E_form (uncorrected): 19.4 kJ/mol of atoms

---

[3]
A plane-wave DFT calculation with PBE-GGA was carried out for GaHS after structural relaxation.

Structure (POSCAR):
```
GaHS
1.0
6.189 0.952 -1.630
1.025 5.634 0.113
0.818 0.667 7.343
H S Ga
4 4 4
Direct
0.980 0.954 0.477
0.020 0.046 0.523
0.861 0.101 0.102
0.139 0.899 0.898
0.919 0.595 0.203
0.412 0.016 0.216
0.081 0.405 0.797
0.588 0.984 0.784
0.455 0.302 0.963
0.043 0.225 0.092
0.957 0.775 0.908
0.545 0.698 0.037
```

---

[4]
A plane-wave DFT calculation with PBE-GGA was carried out for Sm3Al2Pt6 after structural relaxation.

Structure (POSCAR):
```
Sm3Al2Pt6
1.0
-2.918 -3.408 -6.988
-2.942 -4.170 6.551
-2.437 7.926 0.442
Pt Sm Al
12 6 4
Direct
0.321 0.000 0.679
0.000 0.321 0.679
0.679 0.321 0.000
0.358 0.679 0.679
0.321 0.321 0.642
0.679 0.679 0.358
0.679 0.358 0.679
0.321 0.679 0.000
0.642 0.321 0.321
0.679 0.000 0.321
0.321 0.642 0.321
0.000 0.679 0.321
0.000 0.297 0.297
0.297 0.297 0.000
0.297 0.000 0.297
0.000 0.703 0.703
0.703 0.703 0.000
0.703 0.000 0.703
0.500 0.000 0.000
0.500 0.500 0.500
0.000 0.000 0.500
0.000 0.500 0.000
```

- Formation energy from the elements: -1.10 eV/atom

---

[5]
A plane-wave DFT calculation with PBE-GGA was carried out for CePr2SmTl4 after structural relaxation.

Structure (POSCAR):
```
CePr2SmTl4
1.0
5.529 0.000 0.000
2.765 4.788 0.000
2.765 1.596 9.046
Tl Sm Pr Ce
4 1 2 1
Direct
0.625 0.625 0.124
0.875 0.875 0.374
0.125 0.125 0.626
0.375 0.375 0.876
0.000 0.000 0.000
0.749 0.749 0.752
0.251 0.251 0.248
0.500 0.500 0.500
```

- Formation energy from the elements: -0.34 eV/atom

---

[6]
A plane-wave DFT calculation with PBE-GGA was carried out for SnAsIr2Ru after structural relaxation.

Structure (POSCAR):
```
SnAsIr2Ru
1.0
4.607 0.000 0.000
0.000 4.594 0.000
0.000 0.000 4.607
As Sn Ir Ru
1 1 2 1
Direct
0.000 0.000 0.000
0.500 0.500 0.500
0.000 0.000 0.500
0.500 0.000 0.000
0.000 0.500 0.000
```

- Formation energy from the elements: 0.82 eV/atom

---

[7]
A plane-wave DFT calculation with PBE-GGA was carried out for ScTcPd3 after structural relaxation.

Structure (POSCAR):
```
ScTcPd3
1.0
4.768 0.000 0.000
0.000 4.768 0.000
0.000 0.000 4.768
Pd Sc Tc
3 1 1
Direct
0.000 0.000 0.500
0.000 0.500 0.000
0.500 0.000 0.000
0.500 0.500 0.500
0.000 0.000 0.000
```

- Formation energy from the elements: 0.69 eV/atom

---

[8]
A plane-wave DFT calculation with PBE-GGA was carried out for Sr2Pb3Au after structural relaxation.

Structure (POSCAR):
```
Sr2Pb3Au
1.0
3.856 0.000 0.000
0.000 5.066 0.000
0.000 0.000 9.754
Pb Sr Au
3 2 1
Direct
0.500 0.000 0.836
0.500 0.500 0.639
0.500 0.000 0.186
0.000 0.500 0.028
0.000 0.000 0.481
0.500 0.500 0.331
```

- Formation energy from the elements: -0.42 eV/atom

---

Calculated calculated volume (Å³/atom), listed in the same order as above: 22.172 31.298 21.241 20.039 29.937 19.503 21.678 31.755
Calculated E_tot (eV/atom), listed in the same order as above: -6.806 -2.329 -3.831 -6.366 -4.045 -6.308 -5.761 -3.385